(1)
A PBEsol-optimized structure of SbWBr3, computed with meta-GGA SCAN.

Structure (POSCAR):
```
SbWBr3
1.0
4.983 0.000 0.000
0.000 4.983 0.000
0.000 0.000 4.983
Br W Sb
3 1 1
Direct
0.000 0.000 0.500
0.500 0.000 0.000
0.000 0.500 0.000
0.000 0.000 0.000
0.500 0.500 0.500
```

Summary:
ΔE_f (raw) (eV/atom): 0.756
Space-group type: No. 221
E_tot (eV per formula unit): -161.5

---

(2)
A PBEsol-optimized structure of Sb2WBr, computed with meta-GGA SCAN.

Structure (POSCAR):
```
Sb2WBr
1.0
4.180 0.000 0.000
0.000 4.180 0.000
0.000 0.000 5.149
Sb W Br
2 1 1
Direct
0.500 0.000 0.000
0.000 0.500 0.000
0.500 0.500 0.500
0.000 0.000 0.500
```

Summary:
ΔE_f (raw) (eV/atom): 1.243
Polymorph energy (0 for the lowest one) (kJ per mole of atoms): 53.5
Space-group type: No. 123
E_tot (eV per formula unit): -158.7

---

(3)
A PBEsol-optimized structure of Sb2WBr, computed with meta-GGA SCAN.

Structure (POSCAR):
```
Sb2WBr
1.0
4.531 0.000 0.000
-2.265 4.613 -0.001
0.000 2.226 3.946
Br Sb W
1 2 1
Direct
0.000 0.000 0.000
0.750 0.500 0.750
0.250 0.500 0.250
0.500 0.000 0.500
```

Summary:
ΔE_f (raw) (eV/atom): 1.036
Polymorph energy (0 for the lowest one) (kJ per mole of atoms): 33.5
Space-group type: No. 139
E_tot (eV per formula unit): -159.5

---

(4)
A PBEsol-optimized structure of SbWBr2, computed with meta-GGA SCAN.

Structure (POSCAR):
```
SbWBr2
1.0
4.668 0.000 0.000
-2.334 4.406 0.019
0.000 2.456 3.970
Br W Sb
2 1 1
Direct
0.250 0.500 0.250
0.000 0.000 0.000
0.750 0.500 0.750
0.500 0.000 0.500
```

Summary:
ΔE_f (raw) (eV/atom): 1.122
Polymorph energy (0 for the lowest one) (kJ per mole of atoms): 0.0
Space-group type: No. 119
E_tot (eV per formula unit): -141.4

---

(5)
A PBEsol-optimized structure of SbWBr, computed with meta-GGA SCAN.

Structure (POSCAR):
```
SbWBr
1.0
4.673 0.000 0.000
2.337 4.047 0.000
2.337 1.349 3.816
Sb W Br
1 1 1
Direct
0.750 0.750 0.750
0.000 0.000 0.000
0.500 0.500 0.500
```

Summary:
ΔE_f (raw) (eV/atom): 1.666
Space-group type: No. 216
E_tot (eV per formula unit): -121.4

---

(6)
A PBEsol-optimized structure of Sb2WBr, computed with meta-GGA SCAN.

Structure (POSCAR):
```
Sb2WBr
1.0
-2.838 -1.451 -0.515
2.297 -4.397 -0.274
-0.609 -0.639 5.153
Sb W Br
2 1 1
Direct
0.500 0.000 0.500
0.000 0.000 0.000
0.500 0.500 0.000
0.000 0.500 0.500
```

Summary:
ΔE_f (raw) (eV/atom): 1.179
Polymorph energy (0 for the lowest one) (kJ per mole of atoms): 47.3
Space-group type: No. 47
E_tot (eV per formula unit): -159.0

---

(7)
A PBEsol-optimized structure of SbWBr2, computed with meta-GGA SCAN.

Structure (POSCAR):
```
SbWBr2
1.0
-3.628 0.981 3.021
-3.109 -0.157 -3.683
2.909 -3.744 0.861
Br Sb W
2 1 1
Direct
0.250 0.750 0.500
0.750 0.250 0.500
0.500 0.500 0.000
0.000 0.000 0.000
```

Summary:
ΔE_f (raw) (eV/atom): 1.468
Polymorph energy (0 for the lowest one) (kJ per mole of atoms): 33.4
Space-group type: No. 139
E_tot (eV per formula unit): -140.0

---

(8)
A PBEsol-optimized structure of SbWBr2, computed with meta-GGA SCAN.

Structure (POSCAR):
```
SbWBr2
1.0
3.060 0.000 0.000
0.000 5.338 0.019
0.000 -1.736 5.048
W Br Sb
1 2 1
Direct
0.500 0.500 0.500
0.000 0.000 0.500
0.000 0.500 0.000
0.500 0.000 0.000
```

Summary:
ΔE_f (raw) (eV/atom): 1.388
Polymorph energy (0 for the lowest one) (kJ per mole of atoms): 25.7
Space-group type: No. 65
E_tot (eV per formula unit): -140.3

---

(9)
A PBEsol-optimized structure of YSb2WBr, computed with meta-GGA SCAN.

Structure (POSCAR):
```
YSb2WBr
1.0
5.077 0.000 0.000
0.000 5.077 0.000
0.000 0.000 5.681
Sb W Y Br
2 1 1 1
Direct
0.500 0.000 0.000
0.000 0.500 0.000
0.000 0.000 0.000
0.000 0.000 0.500
0.500 0.500 0.500
```

Summary:
ΔE_f (raw) (eV/atom): -0.024
Space-group type: No. 123
E_tot (eV per formula unit): -191.6

---

(10)
A PBEsol-optimized structure of Y2SbBr, computed with meta-GGA SCAN.

Structure (POSCAR):
```
Y2SbBr
1.0
4.228 0.000 0.000
0.000 4.228 0.000
-2.114 -2.114 5.969
Y Sb Br
2 1 1
Direct
0.750 0.250 0.500
0.000 0.000 0.000
0.250 0.750 0.500
0.500 0.500 0.000
```

Summary:
ΔE_f (raw) (eV/atom): -0.857
Space-group type: No. 119
E_tot (eV per formula unit): -115.8

---

(11)
A PBEsol-optimized structure of ZnSb2Br, computed with meta-GGA SCAN.

Structure (POSCAR):
```
ZnSb2Br
1.0
4.288 0.000 0.000
0.000 4.288 0.000
0.000 0.000 5.712
Sb Br Zn
2 1 1
Direct
0.500 0.500 0.000
0.000 0.000 0.000
0.500 0.500 0.500
0.000 0.000 0.500
```

Summary:
ΔE_f (raw) (eV/atom): -0.015
Polymorph energy (0 for the lowest one) (kJ per mole of atoms): 0.0
Space-group type: No. 123
E_tot (eV per formula unit): -107.6

---

(12)
A PBEsol-optimized structure of Zn2SbBr, computed with meta-GGA SCAN.

Structure (POSCAR):
```
Zn2SbBr
1.0
-3.017 1.252 -1.301
-2.021 -3.857 0.975
-1.323 1.941 4.935
Zn Sb Br
2 1 1
Direct
0.500 0.500 0.000
0.000 0.000 0.500
0.500 0.500 0.500
0.000 0.000 0.000
```

Summary:
ΔE_f (raw) (eV/atom): -0.138
Polymorph energy (0 for the lowest one) (kJ per mole of atoms): 15.8
Space-group type: No. 47
E_tot (eV per formula unit): -84.3

---

(13)
A PBEsol-optimized structure of ZnSb2Br, computed with meta-GGA SCAN.

Structure (POSCAR):
```
ZnSb2Br
1.0
-0.169 4.724 1.936
-2.047 3.805 -2.725
-4.474 2.027 1.403
Sb Zn Br
2 1 1
Direct
0.000 0.000 0.000
0.750 0.750 0.750
0.250 0.250 0.250
0.500 0.500 0.500
```

Summary:
ΔE_f (raw) (eV/atom): 0.221
Polymorph energy (0 for the lowest one) (kJ per mole of atoms): 22.8
Space-group type: No. 216
E_tot (eV per formula unit): -106.6

---

(14)
A PBEsol-optimized structure of ZnSb2Br, computed with meta-GGA SCAN.

Structure (POSCAR):
```
ZnSb2Br
1.0
-2.648 2.332 3.632
-4.505 -1.827 1.418
-0.533 -2.179 4.540
Sb Zn Br
2 1 1
Direct
0.750 0.750 0.750
0.250 0.250 0.250
0.500 0.500 0.500
0.000 0.000 0.000
```

Summary:
ΔE_f (raw) (eV/atom): 0.358
Polymorph energy (0 for the lowest one) (kJ per mole of atoms): 36.0
Space-group type: No. 225
E_tot (eV per formula unit): -106.1

---

(15)
A PBEsol-optimized structure of ZnSbBr2, computed with meta-GGA SCAN.

Structure (POSCAR):
```
ZnSbBr2
1.0
3.689 0.061 0.000
-1.758 3.243 0.000
0.000 0.000 8.885
Sb Br Zn
1 2 1
Direct
0.000 0.000 0.474
0.500 0.500 0.708
0.000 0.000 0.070
0.500 0.500 0.248
```

Summary:
ΔE_f (raw) (eV/atom): -0.210
Space-group type: No. 35
E_tot (eV per formula unit): -90.5

---

(16)
A PBEsol-optimized structure of ZnSb2Br, computed with meta-GGA SCAN.

Structure (POSCAR):
```
ZnSb2Br
1.0
-1.969 1.505 2.256
-2.548 -4.300 0.643
5.863 -0.116 2.705
Sb Br Zn
2 1 1
Direct
0.025 0.025 0.049
0.759 0.259 0.518
0.246 0.746 0.493
0.470 0.470 0.940
```

Summary:
ΔE_f (raw) (eV/atom): 0.210
Polymorph energy (0 for the lowest one) (kJ per mole of atoms): 21.7
Space-group type: No. 44
E_tot (eV per formula unit): -106.7

---

(17)
A PBEsol-optimized structure of ZnSbBr2, computed with meta-GGA SCAN.

Structure (POSCAR):
```
ZnSbBr2
1.0
-0.270 -0.878 -3.357
2.036 -4.771 1.083
-5.214 -0.723 0.609
Sb Br Zn
1 2 1
Direct
0.500 0.000 0.000
0.000 0.000 0.500
0.000 0.500 0.000
0.500 0.500 0.500
```

Summary:
ΔE_f (raw) (eV/atom): 0.232
Space-group type: No. 65
E_tot (eV per formula unit): -88.8

---

(18)
A PBEsol-optimized structure of Zn2SbBr, computed with meta-GGA SCAN.

Structure (POSCAR):
```
Zn2SbBr
1.0
5.949 0.000 0.000
0.000 5.949 0.000
-2.975 -2.975 6.237
Zn Br Sb
4 2 2
Direct
0.625 0.648 0.750
0.352 0.875 0.250
0.125 0.102 0.750
0.898 0.375 0.250
0.500 0.500 0.000
0.750 0.250 0.500
0.000 0.000 0.000
0.250 0.750 0.500
```

Summary:
ΔE_f (raw) (eV/atom): -0.302
Polymorph energy (0 for the lowest one) (kJ per mole of atoms): 0.0
Space-group type: No. 122
E_tot (eV per formula unit): -85.0

---

(19)
A PBEsol-optimized structure of ZnSbBr, computed with meta-GGA SCAN.

Structure (POSCAR):
```
ZnSbBr
1.0
-2.394 -1.783 1.519
1.611 -2.830 -0.784
3.502 2.618 4.901
Zn Sb Br
1 1 1
Direct
0.338 0.338 0.676
0.693 0.693 0.386
0.969 0.969 0.938
```

Summary:
ΔE_f (raw) (eV/atom): 0.076
Space-group type: No. 107
E_tot (eV per formula unit): -70.0

---

(20)
A PBEsol-optimized structure of ZrSbBr, computed with meta-GGA SCAN.

Structure (POSCAR):
```
ZrSbBr
1.0
-4.220 -1.998 -0.779
-1.182 -1.411 -4.361
-0.284 -4.619 -0.998
Sb Br Zr
1 1 1
Direct
0.000 0.000 0.000
0.250 0.250 0.250
0.500 0.500 0.500
```

Summary:
ΔE_f (raw) (eV/atom): 0.241
Space-group type: No. 216
E_tot (eV per formula unit): -86.7

---

(21)
A PBEsol-optimized structure of ScBr, computed with meta-GGA SCAN.

Structure (POSCAR):
```
ScBr
1.0
3.538 0.000 0.000
-1.769 3.064 0.000
0.000 0.000 28.555
Sc Br
6 6
Direct
0.667 0.333 0.377
0.333 0.667 0.044
0.000 0.000 0.710
0.000 0.000 0.290
0.667 0.333 0.956
0.333 0.667 0.623
0.000 0.000 0.894
0.333 0.667 0.228
0.333 0.667 0.439
0.000 0.000 0.106
0.667 0.333 0.561
0.667 0.333 0.772
```

Summary:
ΔE_f (raw) (eV/atom): -1.294
Space-group type: No. 164
E_tot (eV per formula unit): -36.3

---

(22)
A PBEsol-optimized structure of ScBr3, computed with meta-GGA SCAN.

Structure (POSCAR):
```
ScBr3
1.0
3.474 0.000 0.000
0.000 6.627 0.000
-1.737 -3.313 5.329
Br Sc
3 1
Direct
0.337 0.280 0.675
0.663 0.606 0.325
0.500 0.990 0.000
0.000 0.291 0.000
```

Summary:
ΔE_f (raw) (eV/atom): -1.817
Space-group type: No. 44
E_tot (eV per formula unit): -79.9

---

(23)
A PBEsol-optimized structure of ScBr, computed with meta-GGA SCAN.

Structure (POSCAR):
```
ScBr
1.0
3.449 0.000 0.000
-1.725 2.987 0.000
0.000 0.000 9.103
Br Sc
2 2
Direct
0.333 0.667 0.461
0.667 0.333 0.961
0.333 0.667 0.168
0.667 0.333 0.668
```

Summary:
ΔE_f (raw) (eV/atom): -0.945
Space-group type: No. 186
E_tot (eV per formula unit): -35.6

---

(24)
A PBEsol-optimized structure of ScBr5, computed with meta-GGA SCAN.

Structure (POSCAR):
```
ScBr5
1.0
-4.631 1.752 -2.232
0.415 -5.137 1.715
-2.370 1.965 6.460
Br Sc
5 1
Direct
0.500 0.500 0.500
0.667 0.333 0.000
0.333 0.667 0.000
0.000 0.500 0.500
0.500 0.000 0.500
0.000 0.000 0.000
```

Summary:
ΔE_f (raw) (eV/atom): -0.241
Space-group type: No. 191
E_tot (eV per formula unit): -113.0

---

(25)
A PBEsol-optimized structure of ScBr3, computed with meta-GGA SCAN.

Structure (POSCAR):
```
ScBr3
1.0
4.425 0.226 0.000
-1.023 4.311 0.000
0.000 0.000 4.978
Br Sc
3 1
Direct
0.500 0.000 0.500
0.500 0.500 0.000
0.000 0.500 0.500
0.000 0.000 0.000
```

Summary:
ΔE_f (raw) (eV/atom): -0.667
Space-group type: No. 65
E_tot (eV per formula unit): -75.3

---

(26)
A PBEsol-optimized structure of Sc5Br, computed with meta-GGA SCAN.

Structure (POSCAR):
```
Sc5Br
1.0
-5.682 -0.082 -1.873
-1.430 -2.787 -5.098
-3.127 -5.098 0.153
Sc Br
5 1
Direct
0.133 0.622 0.622
0.622 0.133 0.622
0.622 0.622 0.622
0.250 0.250 0.250
0.622 0.622 0.133
0.000 0.000 0.000
```

Summary:
ΔE_f (raw) (eV/atom): 0.324
Space-group type: No. 216
E_tot (eV per formula unit): -88.7

---

(27)
A PBEsol-optimized structure of ScBr, computed with meta-GGA SCAN.

Structure (POSCAR):
```
ScBr
1.0
-2.134 -2.196 2.231
2.334 -2.915 -0.637
3.326 4.223 4.122
Sc Br
2 2
Direct
0.500 0.500 0.000
0.750 0.250 0.500
0.000 0.000 0.000
0.250 0.750 0.500
```

Summary:
ΔE_f (raw) (eV/atom): -0.615
Space-group type: No. 141
E_tot (eV per formula unit): -34.9

---

(28)
A PBEsol-optimized structure of Sc3Br, computed with meta-GGA SCAN.

Structure (POSCAR):
```
Sc3Br
1.0
3.276 -0.028 0.000
-1.220 3.040 0.000
0.000 0.000 9.132
Sc Br
3 1
Direct
0.500 0.500 0.764
0.000 0.000 0.500
0.500 0.500 0.236
0.000 0.000 0.000
```

Summary:
ΔE_f (raw) (eV/atom): -0.394
Space-group type: No. 65
E_tot (eV per formula unit): -63.7

---

(29)
A PBEsol-optimized structure of ScSeBr2, computed with meta-GGA SCAN.

Structure (POSCAR):
```
ScSeBr2
1.0
4.518 0.000 0.000
0.000 4.518 0.000
-2.259 -2.259 4.217
Se Br Sc
1 2 1
Direct
0.000 0.000 0.000
0.250 0.750 0.500
0.750 0.250 0.500
0.500 0.500 0.000
```

Summary:
ΔE_f (raw) (eV/atom): -0.603
Polymorph energy (0 for the lowest one) (kJ per mole of atoms): 28.0
Space-group type: No. 139
E_tot (eV per formula unit): -75.6

---

(30)
A PBEsol-optimized structure of ScSeBr2, computed with meta-GGA SCAN.

Structure (POSCAR):
```
ScSeBr2
1.0
3.225 0.000 0.000
0.000 3.225 0.000
0.000 0.000 8.901
Sc Br Se
1 2 1
Direct
0.500 0.500 0.000
0.000 0.000 0.181
0.000 0.000 0.819
0.500 0.500 0.500
```

Summary:
ΔE_f (raw) (eV/atom): -0.841
Polymorph energy (0 for the lowest one) (kJ per mole of atoms): 5.0
Space-group type: No. 123
E_tot (eV per formula unit): -76.6